Entry 1:
A geometry-optimized Pm4Sm5Th4 structure. Source: Alexandria, functional GGA-PBE.

Cell and atoms, written as CIF:
```
data_Pm4Sm5Th4
_space_group_name_H-M_alt 'P 1'
_space_group_IT_number 1
_cell_length_a 5.098
_cell_length_b 9.595
_cell_length_c 9.595
_cell_angle_alpha 85.95
_cell_angle_beta 74.59
_cell_angle_gamma 74.59
loop_
_space_group_symop_operation_xyz
'x,y,z'
loop_
_atom_site_label
_atom_site_type_symbol
_atom_site_fract_x
_atom_site_fract_y
_atom_site_fract_z
Pm1 Pm 0.766 0.387 0.082
Pm2 Pm 0.234 0.613 0.918
Pm3 Pm 0.847 0.918 0.387
Pm4 Pm 0.153 0.082 0.613
Sm1 Sm 0.697 0.840 0.765
Sm2 Sm 0.303 0.160 0.235
Sm3 Sm 0.000 0.000 0.000
Sm4 Sm 0.538 0.765 0.160
Sm5 Sm 0.462 0.235 0.840
Th1 Th 0.926 0.462 0.686
Th2 Th 0.612 0.314 0.462
Th3 Th 0.074 0.538 0.314
Th4 Th 0.388 0.686 0.538
```

E_form = 0.0379 eV per atom
Density of states at the Fermi level = 18.297 states/eV per cell



Entry 2:
A geometry-optimized PmSmTh structure. Source: Alexandria, functional GGA-PBE.

Cell and atoms, written as CIF:
```
data_PmSmTh
_space_group_name_H-M_alt 'P 1'
_space_group_IT_number 1
_cell_length_a 3.614
_cell_length_b 3.614
_cell_length_c 8.881
_cell_angle_alpha 90.00
_cell_angle_beta 90.00
_cell_angle_gamma 120.00
loop_
_space_group_symop_operation_xyz
'x,y,z'
loop_
_atom_site_label
_atom_site_type_symbol
_atom_site_fract_x
_atom_site_fract_y
_atom_site_fract_z
Sm1 Sm 0.667 0.333 0.345
Th1 Th 0.333 0.667 0.666
Pm1 Pm 0.000 0.000 0.989
```

E_form = 0.0286 eV per atom
Energy relative to the lowest polymorph listed for this composition = 0.006 eV/atom
Density of states at the Fermi level = 4.839 states/eV per cell



Entry 3:
A geometry-optimized Pm2Sm7Th structure. Source: Alexandria, functional GGA-PBE.

Cell and atoms, written as CIF:
```
data_Pm2Sm7Th
_space_group_name_H-M_alt 'P 1'
_space_group_IT_number 1
_cell_length_a 3.495
_cell_length_b 10.396
_cell_length_c 10.395
_cell_angle_alpha 108.89
_cell_angle_beta 90.00
_cell_angle_gamma 90.00
loop_
_space_group_symop_operation_xyz
'x,y,z'
loop_
_atom_site_label
_atom_site_type_symbol
_atom_site_fract_x
_atom_site_fract_y
_atom_site_fract_z
Pm1 Pm 0.500 0.831 0.169
Pm2 Pm 0.500 0.169 0.831
Sm1 Sm 0.000 0.673 0.327
Sm2 Sm 0.000 0.327 0.673
Sm3 Sm 0.500 0.131 0.380
Sm4 Sm 0.500 0.869 0.620
Sm5 Sm 0.500 0.380 0.131
Sm6 Sm 0.500 0.620 0.869
Sm7 Sm 0.500 0.500 0.500
Th1 Th 0.000 0.000 0.000
```

E_form = 0.4079 eV per atom
Density of states at the Fermi level = 17.260 states/eV per cell



Entry 4:
A geometry-optimized PmSmTh structure. Source: Alexandria, functional GGA-PBE.

Cell and atoms, written as CIF:
```
data_PmSmTh
_space_group_name_H-M_alt 'P 1'
_space_group_IT_number 1
_cell_length_a 3.617
_cell_length_b 3.617
_cell_length_c 15.380
_cell_angle_alpha 90.00
_cell_angle_beta 90.00
_cell_angle_gamma 90.00
loop_
_space_group_symop_operation_xyz
'x,y,z'
loop_
_atom_site_label
_atom_site_type_symbol
_atom_site_fract_x
_atom_site_fract_y
_atom_site_fract_z
Pm1 Pm 0.317 0.317 0.168
Pm2 Pm 0.817 0.817 0.335
Sm1 Sm 0.318 0.318 0.509
Sm2 Sm 0.818 0.818 0.993
Th1 Th 0.818 0.818 0.673
Th2 Th 0.318 0.318 0.830
```

E_form = 0.0229 eV per atom
Energy relative to the lowest polymorph listed for this composition = 0.000 eV/atom
Density of states at the Fermi level = 8.341 states/eV per cell